# PBE-GGA ZrNbPd2, relaxed
data_ZrNbPd2
_chemical_formula_sum 'Zr1 Nb1 Pd2'
_space_group_name_H-M_alt 'P 1'
_space_group_IT_number 1
_cell_length_a 2.908
_cell_length_b 2.908
_cell_length_c 8.225
_cell_angle_alpha 90.00
_cell_angle_beta 90.00
_cell_angle_gamma 90.00
loop_
_space_group_symop_operation_xyz
'x,y,z'
loop_
_atom_site_label
_atom_site_type_symbol
_atom_site_fract_x
_atom_site_fract_y
_atom_site_fract_z
Zr1 Zr 0.000 0.000 0.000
Nb1 Nb 0.000 0.000 0.500
Pd1 Pd 0.500 0.500 0.258
Pd2 Pd 0.500 0.500 0.742
# Excess energy over the best structure of this formula in the dataset ... 0.0 meV per atom
# Energy ... -0.5630 Ry per atom
# SG ... No. 123
# Total magnetization ... 0.0 μB per formula unit

***

# PBE-GGA NdEuSc2, relaxed
data_NdEuSc2
_chemical_formula_sum 'Nd1 Eu1 Sc2'
_space_group_name_H-M_alt 'P 1'
_space_group_IT_number 1
_cell_length_a 5.539
_cell_length_b 5.539
_cell_length_c 5.539
_cell_angle_alpha 60.00
_cell_angle_beta 60.00
_cell_angle_gamma 60.00
loop_
_space_group_symop_operation_xyz
'x,y,z'
loop_
_atom_site_label
_atom_site_type_symbol
_atom_site_fract_x
_atom_site_fract_y
_atom_site_fract_z
Nd1 Nd 0.000 0.000 0.000
Eu1 Eu 0.500 0.500 0.500
Sc1 Sc 0.250 0.250 0.250
Sc2 Sc 0.750 0.750 0.750
# Excess energy over the best structure of this formula in the dataset ... 27.4 meV per atom
# Energy ... -0.4975 Ry per atom
# SG ... No. 225
# Total magnetization ... 6.8 μB per formula unit

***

# PBE-GGA CdNiBi, relaxed
data_CdNiBi
_chemical_formula_sum 'Cd1 Ni1 Bi1'
_space_group_name_H-M_alt 'P 1'
_space_group_IT_number 1
_cell_length_a 6.576
_cell_length_b 6.576
_cell_length_c 6.576
_cell_angle_alpha 151.49
_cell_angle_beta 151.49
_cell_angle_gamma 40.75
loop_
_space_group_symop_operation_xyz
'x,y,z'
loop_
_atom_site_label
_atom_site_type_symbol
_atom_site_fract_x
_atom_site_fract_y
_atom_site_fract_z
Cd1 Cd 0.000 0.000 0.000
Ni1 Ni 0.371 0.371 0.000
Bi1 Bi 0.736 0.736 0.000
# Energy ... -0.2505 Ry per atom
# SG ... No. 107
# Total magnetization ... 0.0 μB per formula unit

***

# PBE-GGA ZnInPb2, relaxed
data_ZnInPb2
_chemical_formula_sum 'Zn2 In2 Pb4'
_space_group_name_H-M_alt 'P 1'
_space_group_IT_number 1
_cell_length_a 11.526
_cell_length_b 11.526
_cell_length_c 11.526
_cell_angle_alpha 157.22
_cell_angle_beta 157.22
_cell_angle_gamma 32.43
loop_
_space_group_symop_operation_xyz
'x,y,z'
loop_
_atom_site_label
_atom_site_type_symbol
_atom_site_fract_x
_atom_site_fract_y
_atom_site_fract_z
Zn1 Zn 0.000 0.000 0.000
Zn2 Zn 0.750 0.250 0.500
In1 In 0.250 0.750 0.500
In2 In 0.500 0.500 0.000
Pb1 Pb 0.118 0.625 0.993
Pb2 Pb 0.375 0.368 0.493
Pb3 Pb 0.632 0.125 0.007
Pb4 Pb 0.875 0.882 0.507
# Energy ... -0.1963 Ry per atom
# SG ... No. 122
# Total magnetization ... 0.0 μB per formula unit

***

# PBE-GGA RbBiBr2, relaxed
data_RbBiBr2
_chemical_formula_sum 'Rb1 Bi1 Br2'
_space_group_name_H-M_alt 'P 1'
_space_group_IT_number 1
_cell_length_a 10.622
_cell_length_b 10.622
_cell_length_c 10.622
_cell_angle_alpha 22.47
_cell_angle_beta 22.47
_cell_angle_gamma 22.47
loop_
_space_group_symop_operation_xyz
'x,y,z'
loop_
_atom_site_label
_atom_site_type_symbol
_atom_site_fract_x
_atom_site_fract_y
_atom_site_fract_z
Rb1 Rb 0.000 0.000 0.000
Bi1 Bi 0.500 0.500 0.500
Br1 Br 0.408 0.408 0.408
Br2 Br 0.592 0.592 0.592
# Excess energy over the best structure of this formula in the dataset ... 0.0 meV per atom
# Energy ... -0.2120 Ry per atom
# SG ... No. 166
# Energy relative to the elements, uncorrected ... -836 meV/atom
# Total magnetization ... 0.0 μB per formula unit

***

# PBE-GGA TaCrSb2, relaxed
data_TaCrSb2
_chemical_formula_sum 'Ta1 Cr1 Sb2'
_space_group_name_H-M_alt 'P 1'
_space_group_IT_number 1
_cell_length_a 3.247
_cell_length_b 3.247
_cell_length_c 8.098
_cell_angle_alpha 90.00
_cell_angle_beta 90.00
_cell_angle_gamma 90.00
loop_
_space_group_symop_operation_xyz
'x,y,z'
loop_
_atom_site_label
_atom_site_type_symbol
_atom_site_fract_x
_atom_site_fract_y
_atom_site_fract_z
Ta1 Ta 0.000 0.000 0.000
Cr1 Cr 0.500 0.500 0.160
Sb1 Sb 0.000 0.000 0.366
Sb2 Sb 0.500 0.500 0.763
# Excess energy over the best structure of this formula in the dataset ... 0.0 meV per atom
# Energy ... -0.5407 Ry per atom
# SG ... No. 99
# Energy relative to the elements, uncorrected ... 74 meV/atom
# Total magnetization ... 0.1 μB per formula unit

***

# PBE-GGA HoZrTcOs, relaxed
data_HoZrTcOs
_chemical_formula_sum 'Ho1 Zr1 Tc1 Os1'
_space_group_name_H-M_alt 'P 1'
_space_group_IT_number 1
_cell_length_a 4.725
_cell_length_b 4.725
_cell_length_c 4.725
_cell_angle_alpha 60.00
_cell_angle_beta 60.00
_cell_angle_gamma 60.00
loop_
_space_group_symop_operation_xyz
'x,y,z'
loop_
_atom_site_label
_atom_site_type_symbol
_atom_site_fract_x
_atom_site_fract_y
_atom_site_fract_z
Ho1 Ho 0.000 0.000 0.000
Zr1 Zr 0.500 0.500 0.500
Tc1 Tc 0.750 0.750 0.750
Os1 Os 0.250 0.250 0.250
# Energy ... -0.6518 Ry per atom
# SG ... No. 216
# Total magnetization ... 0.0 μB per formula unit

***

# PBE-GGA Al2FeW, relaxed
data_Al2FeW
_chemical_formula_sum 'Al2 Fe1 W1'
_space_group_name_H-M_alt 'P 1'
_space_group_IT_number 1
_cell_length_a 4.760
_cell_length_b 4.760
_cell_length_c 2.721
_cell_angle_alpha 90.00
_cell_angle_beta 90.00
_cell_angle_gamma 109.66
loop_
_space_group_symop_operation_xyz
'x,y,z'
loop_
_atom_site_label
_atom_site_type_symbol
_atom_site_fract_x
_atom_site_fract_y
_atom_site_fract_z
Al1 Al 0.000 0.500 0.000
Al2 Al 0.500 0.000 0.000
Fe1 Fe 0.000 0.000 0.500
W1 W 0.500 0.500 0.500
# Excess energy over the best structure of this formula in the dataset ... 85.7 meV per atom
# Energy ... -0.5351 Ry per atom
# SG ... No. 65
# Total magnetization ... 2.6 μB per formula unit

***

# PBE-GGA Cu2Ag2S3, relaxed
data_Cu2Ag2S3
_chemical_formula_sum 'Cu2 Ag2 S3'
_space_group_name_H-M_alt 'P 1'
_space_group_IT_number 1
_cell_length_a 6.625
_cell_length_b 6.625
_cell_length_c 6.389
_cell_angle_alpha 118.02
_cell_angle_beta 118.02
_cell_angle_gamma 32.20
loop_
_space_group_symop_operation_xyz
'x,y,z'
loop_
_atom_site_label
_atom_site_type_symbol
_atom_site_fract_x
_atom_site_fract_y
_atom_site_fract_z
Cu1 Cu 0.152 0.152 0.394
Cu2 Cu 0.848 0.848 0.606
Ag1 Ag 0.352 0.352 0.011
Ag2 Ag 0.648 0.648 0.989
S1 S 0.000 0.000 0.000
S2 S 0.335 0.335 0.384
S3 S 0.665 0.665 0.616
# Energy ... -0.2768 Ry per atom
# SG ... No. 12
# Energy relative to the elements, uncorrected ... -12 meV/atom
# Total magnetization ... 0.0 μB per formula unit

***

# PBE-GGA Th2Zn3Si, relaxed
data_Th2Zn3Si
_chemical_formula_sum 'Th2 Zn3 Si1'
_space_group_name_H-M_alt 'P 1'
_space_group_IT_number 1
_cell_length_a 4.034
_cell_length_b 4.310
_cell_length_c 7.478
_cell_angle_alpha 90.00
_cell_angle_beta 90.00
_cell_angle_gamma 90.00
loop_
_space_group_symop_operation_xyz
'x,y,z'
loop_
_atom_site_label
_atom_site_type_symbol
_atom_site_fract_x
_atom_site_fract_y
_atom_site_fract_z
Th1 Th 0.000 0.000 0.000
Th2 Th 0.000 0.500 0.480
Zn1 Zn 0.500 0.000 0.657
Zn2 Zn 0.500 0.500 0.155
Zn3 Zn 0.500 0.500 0.819
Si1 Si 0.500 0.000 0.326
# Energy ... -0.3263 Ry per atom
# SG ... No. 25
# Energy relative to the elements, uncorrected ... -426 meV/atom
# Total magnetization ... 0.0 μB per formula unit

***

# PBE-GGA Be3Cu2Pt2, relaxed
data_Be3Cu2Pt2
_chemical_formula_sum 'Be3 Cu2 Pt2'
_space_group_name_H-M_alt 'P 1'
_space_group_IT_number 1
_cell_length_a 3.918
_cell_length_b 3.921
_cell_length_c 6.352
_cell_angle_alpha 90.04
_cell_angle_beta 107.81
_cell_angle_gamma 119.89
loop_
_space_group_symop_operation_xyz
'x,y,z'
loop_
_atom_site_label
_atom_site_type_symbol
_atom_site_fract_x
_atom_site_fract_y
_atom_site_fract_z
Be1 Be 0.000 0.000 0.000
Be2 Be 0.152 0.577 0.727
Be3 Be 0.848 0.423 0.273
Cu1 Cu 0.267 0.134 0.401
Cu2 Cu 0.733 0.866 0.599
Pt1 Pt 0.430 0.716 0.146
Pt2 Pt 0.570 0.284 0.854
# Energy ... -0.3640 Ry per atom
# SG ... No. 2
# Total magnetization ... 0.0 μB per formula unit

***

# PBE-GGA ZrUGe, relaxed
data_ZrUGe
_chemical_formula_sum 'Zr2 U2 Ge2'
_space_group_name_H-M_alt 'P 1'
_space_group_IT_number 1
_cell_length_a 5.792
_cell_length_b 5.792
_cell_length_c 5.792
_cell_angle_alpha 131.44
_cell_angle_beta 114.61
_cell_angle_gamma 85.51
loop_
_space_group_symop_operation_xyz
'x,y,z'
loop_
_atom_site_label
_atom_site_type_symbol
_atom_site_fract_x
_atom_site_fract_y
_atom_site_fract_z
Zr1 Zr 0.240 0.000 0.240
Zr2 Zr 0.760 0.000 0.760
U1 U 0.357 0.357 0.000
U2 U 0.643 0.643 0.000
Ge1 Ge 0.162 0.662 0.500
Ge2 Ge 0.838 0.338 0.500
# Energy ... -0.6069 Ry per atom
# SG ... No. 71
# Total magnetization ... 0.0 μB per formula unit